(1)
Entry from Alexandria via LeMat-Bulk: a geometry-optimized Pr2PdI structure (PBE).

a = 4.283 Å, b = 4.283 Å, c = 8.567 Å
α = 75.52°, β = 75.52°, γ = 60.00°
Fractional positions:
Pd: 0.667 0.667 0.999
I: 0.499 0.499 0.502
Pr: 0.270 0.270 0.189
Pr: 0.064 0.064 0.809

Summary:
- Calculated total energy: -19.74 eV per cell
- Formation energy without anion corrections: -860 meV/atom
- Excess energy over the best structure of this formula in the dataset: 0.003 eV per atom
- M_tot: 0.00 Bohr magnetons per cell

---

(2)
Entry from Alexandria via LeMat-Bulk: a geometry-optimized Pr6PdPt2I3 structure (PBE).

a = 7.465 Å, b = 7.465 Å, c = 8.522 Å
α = 98.39°, β = 98.39°, γ = 120.01°
Fractional positions:
Pr: 0.400 0.063 0.188
Pr: 0.275 0.275 0.812
Pr: 0.725 0.725 0.188
Pr: 0.063 0.400 0.188
Pr: 0.600 0.937 0.812
Pr: 0.937 0.600 0.812
I: 0.167 0.833 0.500
I: 0.500 0.500 0.500
I: 0.833 0.167 0.500
Pt: 0.333 0.667 0.000
Pt: 0.667 0.333 0.000
Pd: 0.000 0.000 0.000

Summary:
- Calculated total energy: -63.01 eV per cell
- Formation energy without anion corrections: -1034 meV/atom
- M_tot: 0.00 Bohr magnetons per cell

---

(3)
Entry from Alexandria via LeMat-Bulk: a geometry-optimized Pr8PdPt3I4 structure (PBE).

a = 8.612 Å, b = 9.554 Å, c = 8.614 Å
α = 116.86°, β = 119.99°, γ = 90.00°
Fractional positions:
Pr: 0.726 0.688 0.957
Pr: 0.769 0.312 0.538
Pr: 0.729 0.687 0.458
Pr: 0.231 0.688 0.957
Pr: 0.271 0.313 0.542
Pr: 0.769 0.312 0.043
Pr: 0.274 0.312 0.043
Pr: 0.231 0.688 0.462
Pt: 0.500 0.500 0.500
Pt: 0.000 0.500 0.500
Pt: 0.500 0.500 0.000
I: 0.000 0.000 0.000
I: 0.000 0.000 0.500
I: 0.500 0.000 0.000
I: 0.500 0.000 0.500
Pd: 0.000 0.500 0.000

Summary:
- Calculated total energy: -84.61 eV per cell
- Formation energy without anion corrections: -1053 meV/atom
- M_tot: 0.00 Bohr magnetons per cell

---

(4)
Entry from Alexandria via LeMat-Bulk: a geometry-optimized Pr8Pd3RhI4 structure (PBE).

a = 8.556 Å, b = 9.552 Å, c = 8.554 Å
α = 116.58°, β = 120.01°, γ = 90.00°
Fractional positions:
Pr: 0.774 0.311 0.037
Pr: 0.226 0.689 0.963
Pr: 0.730 0.689 0.459
Pr: 0.737 0.689 0.963
Pr: 0.270 0.311 0.541
Pr: 0.263 0.311 0.037
Pr: 0.774 0.311 0.549
Pr: 0.226 0.689 0.451
I: 0.000 0.000 0.000
I: 0.500 0.000 0.500
I: 0.500 0.000 0.000
I: 0.000 0.000 0.500
Pd: 0.500 0.500 0.500
Pd: 0.500 0.500 0.000
Pd: 0.000 0.500 0.500
Rh: 0.000 0.500 0.000

Summary:
- Calculated total energy: -81.57 eV per cell
- Formation energy without anion corrections: -888 meV/atom
- M_tot: 0.00 Bohr magnetons per cell

---

(5)
Entry from Alexandria via LeMat-Bulk: a geometry-optimized Pr8PdRu3I4 structure (PBE).

a = 8.404 Å, b = 9.569 Å, c = 8.415 Å
α = 116.16°, β = 119.96°, γ = 90.00°
Fractional positions:
I: 0.500 0.000 0.500
I: 0.000 0.000 0.500
I: 0.500 0.000 0.000
I: 0.000 0.000 0.000
Pr: 0.765 0.313 0.529
Pr: 0.765 0.313 0.049
Pr: 0.270 0.311 0.541
Pr: 0.730 0.689 0.459
Pr: 0.235 0.687 0.951
Pr: 0.235 0.687 0.471
Pr: 0.716 0.687 0.951
Pr: 0.284 0.313 0.049
Pd: 0.000 0.500 0.000
Ru: 0.000 0.500 0.500
Ru: 0.500 0.500 0.000
Ru: 0.500 0.500 0.500

Summary:
- Calculated total energy: -88.88 eV per cell
- Formation energy without anion corrections: -714 meV/atom
- M_tot: 0.00 Bohr magnetons per cell

---

(6)
Entry from Alexandria via LeMat-Bulk: a geometry-optimized Pr6PdRu2I3 structure (PBE).

a = 7.294 Å, b = 7.294 Å, c = 8.598 Å
α = 98.11°, β = 98.11°, γ = 120.00°
Fractional positions:
Ru: 0.333 0.667 0.000
Ru: 0.667 0.333 0.000
Pr: 0.411 0.063 0.188
Pr: 0.714 0.714 0.187
Pr: 0.937 0.589 0.812
Pr: 0.063 0.411 0.188
Pr: 0.286 0.286 0.813
Pr: 0.589 0.937 0.812
I: 0.833 0.167 0.500
I: 0.500 0.500 0.500
I: 0.167 0.833 0.500
Pd: 0.000 0.000 0.000

Summary:
- Calculated total energy: -66.14 eV per cell
- Formation energy without anion corrections: -755 meV/atom
- M_tot: 0.00 Bohr magnetons per cell

---

(7)
Entry from Alexandria via LeMat-Bulk: a geometry-optimized Pr4PdRuI2 structure (PBE).

a = 4.237 Å, b = 7.331 Å, c = 8.580 Å
α = 106.56°, β = 90.00°, γ = 90.00°
Fractional positions:
I: 0.500 0.000 0.500
I: 0.000 0.500 0.500
Pr: 0.000 0.718 0.189
Pr: 0.500 0.243 0.187
Pr: 0.500 0.757 0.813
Pr: 0.000 0.282 0.811
Pd: 0.000 0.000 0.000
Ru: 0.500 0.500 0.000

Summary:
- Calculated total energy: -43.08 eV per cell
- Formation energy without anion corrections: -799 meV/atom
- M_tot: 0.00 Bohr magnetons per cell

---

(8)
Entry from Alexandria via LeMat-Bulk: a geometry-optimized Pr8Pd3SI4 structure (PBE).

a = 8.546 Å, b = 9.357 Å, c = 8.546 Å
α = 117.19°, β = 120.00°, γ = 90.00°
Fractional positions:
I: 0.500 0.000 0.000
I: 0.500 0.000 0.500
I: 0.000 0.000 0.000
I: 0.000 0.000 0.500
Pr: 0.770 0.301 0.031
Pr: 0.230 0.699 0.969
Pr: 0.770 0.301 0.540
Pr: 0.271 0.313 0.542
Pr: 0.261 0.301 0.031
Pr: 0.230 0.699 0.460
Pr: 0.739 0.699 0.969
Pr: 0.729 0.687 0.458
Pd: 0.000 0.500 0.500
Pd: 0.500 0.500 0.000
Pd: 0.500 0.500 0.500
S: 0.000 0.500 0.000

Summary:
- Calculated total energy: -80.01 eV per cell
- Formation energy without anion corrections: -991 meV/atom
- M_tot: 0.00 Bohr magnetons per cell

---

(9)
Entry from Alexandria via LeMat-Bulk: a geometry-optimized Pr4PdSI2 structure (PBE).

a = 4.139 Å, b = 7.489 Å, c = 8.268 Å
α = 106.95°, β = 90.00°, γ = 90.00°
Fractional positions:
Pr: 0.500 0.772 0.806
Pr: 0.500 0.228 0.194
Pr: 0.000 0.284 0.803
Pr: 0.000 0.716 0.197
I: 0.000 0.500 0.500
I: 0.500 0.000 0.500
S: 0.500 0.500 0.000
Pd: 0.000 0.000 0.000

Summary:
- Calculated total energy: -40.80 eV per cell
- Formation energy without anion corrections: -1158 meV/atom
- M_tot: 0.00 Bohr magnetons per cell

---

(10)
Entry from Alexandria via LeMat-Bulk: a geometry-optimized Pr4PdSeI2 structure (PBE).

a = 4.210 Å, b = 7.686 Å, c = 8.163 Å
α = 106.97°, β = 90.00°, γ = 90.00°
Fractional positions:
Pr: 0.000 0.282 0.802
Pr: 0.000 0.718 0.198
Pr: 0.500 0.231 0.204
Pr: 0.500 0.769 0.796
I: 0.000 0.500 0.500
I: 0.500 0.000 0.500
Pd: 0.500 0.500 0.000
Se: 0.000 0.000 0.000

Summary:
- Calculated total energy: -39.78 eV per cell
- Formation energy without anion corrections: -1111 meV/atom
- M_tot: 0.00 Bohr magnetons per cell

---

(11)
Entry from Alexandria via LeMat-Bulk: a geometry-optimized Pr6Pd2SeI3 structure (PBE).

a = 7.556 Å, b = 7.556 Å, c = 8.200 Å
α = 98.84°, β = 98.84°, γ = 119.75°
Fractional positions:
I: 0.839 0.161 0.500
I: 0.500 0.500 0.500
I: 0.161 0.839 0.500
Se: 0.000 0.000 0.000
Pr: 0.717 0.717 0.195
Pr: 0.414 0.067 0.197
Pr: 0.067 0.414 0.197
Pr: 0.586 0.933 0.803
Pr: 0.933 0.586 0.803
Pr: 0.283 0.283 0.805
Pd: 0.333 0.667 0.000
Pd: 0.667 0.333 0.000

Summary:
- Calculated total energy: -59.48 eV per cell
- Formation energy without anion corrections: -1023 meV/atom
- M_tot: 0.00 Bohr magnetons per cell

---

(12)
Entry from Alexandria via LeMat-Bulk: a geometry-optimized Pr8SiPd3I4 structure (PBE).

a = 8.656 Å, b = 9.402 Å, c = 8.660 Å
α = 117.44°, β = 119.99°, γ = 90.00°
Fractional positions:
Pr: 0.767 0.303 0.035
Pr: 0.270 0.310 0.539
Pr: 0.268 0.303 0.035
Pr: 0.233 0.697 0.466
Pr: 0.730 0.690 0.461
Pr: 0.767 0.303 0.534
Pr: 0.732 0.697 0.965
Pr: 0.233 0.697 0.965
Pd: 0.000 0.500 0.500
Pd: 0.500 0.500 0.000
Pd: 0.500 0.500 0.500
I: 0.500 0.000 0.000
I: 0.000 0.000 0.000
I: 0.000 0.000 0.500
I: 0.500 0.000 0.500
Si: 0.000 0.500 0.000

Summary:
- Calculated total energy: -78.96 eV per cell
- Formation energy without anion corrections: -845 meV/atom
- M_tot: 0.00 Bohr magnetons per cell

---

(13)
Entry from Alexandria via LeMat-Bulk: a geometry-optimized Pr6SiPd2I3 structure (PBE).

a = 7.518 Å, b = 7.518 Å, c = 8.255 Å
α = 98.72°, β = 98.72°, γ = 119.95°
Fractional positions:
I: 0.838 0.162 0.500
I: 0.162 0.838 0.500
I: 0.500 0.500 0.500
Pr: 0.269 0.269 0.803
Pr: 0.401 0.067 0.198
Pr: 0.933 0.599 0.802
Pr: 0.731 0.731 0.197
Pr: 0.067 0.401 0.198
Pr: 0.599 0.933 0.802
Si: 0.000 0.000 0.000
Pd: 0.667 0.333 0.000
Pd: 0.333 0.667 0.000

Summary:
- Calculated total energy: -59.27 eV per cell
- Formation energy without anion corrections: -845 meV/atom
- M_tot: 0.00 Bohr magnetons per cell

---

(14)
Entry from Alexandria via LeMat-Bulk: a geometry-optimized Pr6Si2PdI3 structure (PBE).

a = 4.293 Å, b = 9.375 Å, c = 10.199 Å
α = 106.48°, β = 102.15°, γ = 90.00°
Fractional positions:
Pr: 0.322 0.443 0.644
Pr: 0.678 0.557 0.356
Pr: 0.659 0.118 0.318
Pr: 0.013 0.220 0.026
Pr: 0.341 0.882 0.682
Pr: 0.987 0.780 0.974
I: 0.832 0.169 0.664
I: 0.168 0.831 0.336
I: 0.500 0.500 0.000
Si: 0.167 0.336 0.334
Si: 0.833 0.664 0.666
Pd: 0.500 0.000 0.000

Summary:
- Calculated total energy: -60.12 eV per cell
- Formation energy without anion corrections: -896 meV/atom
- M_tot: 0.00 Bohr magnetons per cell

---

(15)
Entry from Alexandria via LeMat-Bulk: a geometry-optimized Pr4TePdI2 structure (PBE).

a = 4.296 Å, b = 8.005 Å, c = 8.083 Å
α = 106.85°, β = 90.00°, γ = 90.00°
Fractional positions:
Pr: 0.500 0.253 0.216
Pr: 0.000 0.293 0.799
Pr: 0.000 0.707 0.201
Pr: 0.500 0.747 0.784
I: 0.000 0.500 0.500
I: 0.500 0.000 0.500
Pd: 0.500 0.500 0.000
Te: 0.000 0.000 0.000

Summary:
- Calculated total energy: -38.51 eV per cell
- Formation energy without anion corrections: -995 meV/atom
- M_tot: 0.00 Bohr magnetons per cell

---

(16)
Entry from Alexandria via LeMat-Bulk: a geometry-optimized Pr6ZnPd2I3 structure (PBE).

a = 7.475 Å, b = 7.475 Å, c = 8.377 Å
α = 98.57°, β = 98.57°, γ = 119.89°
Fractional positions:
Pr: 0.409 0.068 0.201
Pr: 0.932 0.591 0.799
Pr: 0.068 0.409 0.201
Pr: 0.591 0.932 0.799
Pr: 0.276 0.276 0.802
Pr: 0.724 0.724 0.198
Pd: 0.332 0.668 0.000
Pd: 0.668 0.332 0.000
I: 0.500 0.500 0.500
I: 0.838 0.162 0.500
I: 0.162 0.838 0.500
Zn: 0.000 0.000 0.000

Summary:
- Calculated total energy: -53.81 eV per cell
- Formation energy without anion corrections: -736 meV/atom
- M_tot: 0.00 Bohr magnetons per cell

---

(17)
Entry from Alexandria via LeMat-Bulk: a geometry-optimized PdPt2I structure (PBE).

a = 7.489 Å, b = 7.489 Å, c = 5.960 Å
α = 51.07°, β = 51.07°, γ = 90.00°
Fractional positions:
Pt: 0.375 0.375 0.750
Pt: 0.125 0.625 0.250
Pt: 0.875 0.875 0.750
Pt: 0.625 0.125 0.250
I: 0.750 0.250 0.500
I: 0.000 0.000 0.000
Pd: 0.250 0.750 0.500
Pd: 0.500 0.500 0.000

Summary:
- Calculated total energy: -34.57 eV per cell
- Formation energy without anion corrections: 385 meV/atom
- Excess energy over the best structure of this formula in the dataset: 0.000 eV per atom
- M_tot: 0.00 Bohr magnetons per cell

---

(18)
Entry from Alexandria via LeMat-Bulk: a geometry-optimized Pd2PtI structure (PBE).

a = 7.489 Å, b = 7.489 Å, c = 5.962 Å
α = 51.09°, β = 51.09°, γ = 90.00°
Fractional positions:
I: 0.500 0.500 0.000
I: 0.250 0.750 0.500
Pd: 0.875 0.876 0.750
Pd: 0.375 0.374 0.750
Pd: 0.626 0.125 0.250
Pd: 0.124 0.625 0.250
Pt: 0.000 0.000 0.000
Pt: 0.750 0.250 0.500

Summary:
- Calculated total energy: -33.54 eV per cell
- Formation energy without anion corrections: 302 meV/atom
- Excess energy over the best structure of this formula in the dataset: 0.000 eV per atom
- M_tot: 0.00 Bohr magnetons per cell

---

(19)
Entry from Alexandria via LeMat-Bulk: a geometry-optimized PdPt2I structure (PBE).

a = 4.664 Å, b = 4.664 Å, c = 4.664 Å
α = 60.00°, β = 60.00°, γ = 60.00°
Fractional positions:
Pd: 0.000 0.000 0.000
I: 0.500 0.500 0.500
Pt: 0.750 0.750 0.750
Pt: 0.250 0.250 0.250

Summary:
- Calculated total energy: -17.05 eV per cell
- Formation energy without anion corrections: 442 meV/atom
- Excess energy over the best structure of this formula in the dataset: 0.058 eV per atom
- M_tot: 0.00 Bohr magnetons per cell

---

(20)
Entry from Alexandria via LeMat-Bulk: a geometry-optimized PdPtI5 structure (PBE).

a = 5.903 Å, b = 6.855 Å, c = 15.695 Å
α = 106.62°, β = 90.00°, γ = 115.50°
Fractional positions:
I: 0.823 0.695 0.339
I: 0.872 0.695 0.839
I: 0.177 0.305 0.661
I: 0.525 0.000 0.750
I: 0.126 0.302 0.415
I: 0.874 0.698 0.585
I: 0.128 0.305 0.161
I: 0.176 0.302 0.915
I: 0.475 0.000 0.250
I: 0.824 0.698 0.085
Pd: 0.000 0.000 0.000
Pd: 0.000 0.000 0.500
Pt: 0.024 0.000 0.750
Pt: 0.976 0.000 0.250

Summary:
- Calculated total energy: -40.02 eV per cell
- Formation energy without anion corrections: -147 meV/atom
- M_tot: 0.00 Bohr magnetons per cell

---

(21)
Entry from Alexandria via LeMat-Bulk: a geometry-optimized Pd2PtI6 structure (PBE).

a = 11.317 Å, b = 8.857 Å, c = 8.857 Å
α = 54.35°, β = 83.47°, γ = 83.47°
Fractional positions:
I: 0.659 0.677 0.148
I: 0.841 0.852 0.323
I: 0.103 0.237 0.237
I: 0.159 0.678 0.147
I: 0.841 0.322 0.853
I: 0.603 0.237 0.237
I: 0.341 0.323 0.852
I: 0.341 0.853 0.322
I: 0.159 0.148 0.677
I: 0.397 0.763 0.763
I: 0.897 0.763 0.763
I: 0.659 0.147 0.678
Pd: 0.250 0.500 0.000
Pd: 0.750 0.000 0.500
Pd: 0.250 0.000 0.500
Pd: 0.750 0.500 0.000
Pt: 0.750 0.000 0.000
Pt: 0.250 0.000 0.000

Summary:
- Calculated total energy: -54.58 eV per cell
- Formation energy without anion corrections: -174 meV/atom
- M_tot: 0.00 Bohr magnetons per cell